Record 1
ScTl2Os after structural relaxation. Source: the Alexandria database, functional PBEsol.

As for the formation energy: 0.469 eV/atom. Its electronic total energy is -5.551 eV per atom. The calculation puts the polymorph energy (0 for the lowest one) at 0.364 eV/atom.

The structure belongs to space group R-3m (No. 166, hexagonal axes); the cell edges are 3.1672, 3.1672 and 27.6407 Å and the angles 90.00°, 90.00° and 120.00°. The distinct sites, in fractional coordinates, are Sc at (0.0000, 0.0000, 0.0000), Tl at (0.0000, 0.0000, 0.2441) and Os at (0.0000, 0.0000, 0.5000).


Record 2
BeBi3Rh after structural relaxation. Source: the Alexandria database, functional PBEsol.

As for the formation energy: 0.798 eV/atom. Its electronic total energy is -4.201 eV per atom.

The structure belongs to space group Pm-3m (No. 221); the cell edges are 5.225, 5.225 and 5.225 Å and the angles 90.00°, 90.00° and 90.00°. The distinct sites, in fractional coordinates, are Be at (0.000, 0.000, 0.000), Bi at (0.000, 0.500, 0.500) and Rh at (0.500, 0.500, 0.500).


Record 3
CaSi2Au after structural relaxation. Source: the Alexandria database, functional PBEsol.

Its electronic total energy is -4.758 eV per atom. For the energy relative to the elements, uncorrected, the calculation gives -0.370 eV per atom.

The structure belongs to space group C2/m (No. 12); the cell edges are 7.160, 4.083 and 5.840 Å and the angles 90.00°, 113.46° and 90.00°. The distinct sites, in fractional coordinates, are Ca at (0.000, 0.000, 0.000), Si at (0.221, 0.000, 0.660) and Au at (0.000, 0.500, 0.500).


Record 4
BaAgO2 after structural relaxation. Source: the Alexandria database, functional PBEsol.

Its electronic total energy is -5.438 eV per atom. For the energy relative to the elements, uncorrected, the calculation gives -1.448 eV per atom.

The structure belongs to space group P4/mmm (No. 123); the cell edges are 4.240, 4.240 and 3.673 Å and the angles 90.00°, 90.00° and 90.00°. The distinct sites, in fractional coordinates, are Ba at (0.000, 0.000, 0.000), Ag at (0.500, 0.500, 0.500) and O at (0.000, 0.500, 0.500).


Record 5
La3MgO after structural relaxation. Source: the Alexandria database, functional PBEsol.

Its electronic total energy is -5.833 eV per atom. For the energy relative to the elements, uncorrected, the calculation gives -1.232 eV per atom.

The structure belongs to space group Pm-3m (No. 221); the cell edges are 5.043, 5.043 and 5.043 Å and the angles 90.00°, 90.00° and 90.00°. The distinct sites, in fractional coordinates, are La at (0.000, 0.000, 0.500), Mg at (0.500, 0.500, 0.500) and O at (0.000, 0.000, 0.000).


Record 6
Bi2Pd3S2 after structural relaxation. Source: the Alexandria database, functional PBEsol.

Its electronic total energy is -5.426 eV per atom. The calculation puts the polymorph energy (0 for the lowest one) at 0.013 eV/atom. For the energy relative to the elements, uncorrected, the calculation gives -0.396 eV per atom.

The structure belongs to space group C2/m (No. 12); the cell edges are 11.672, 8.282 and 8.247 Å and the angles 90.00°, 134.43° and 90.00°. The distinct sites, in fractional coordinates, are Bi at (0.236, 0.000, 0.235), Bi at (0.247, 0.500, 0.239), Pd at (0.000, 0.270, 0.000), Pd at (0.027, 0.000, 0.301), Pd at (0.250, 0.250, 0.000) and S at (0.026, 0.281, 0.308).


Record 7
RuPt after structural relaxation. Source: the Alexandria database, functional PBEsol.

As for the formation energy: 1.025 eV/atom. Its electronic total energy is -7.543 eV per atom.

The structure belongs to space group Fm-3m (No. 225); the cell edges are 5.080, 5.080 and 5.080 Å and the angles 90.00°, 90.00° and 90.00°. The distinct sites, in fractional coordinates, are Ru at (0.000, 0.000, 0.000) and Pt at (0.000, 0.000, 0.500).


Record 8
Ta2PtCl after structural relaxation. Source: the Alexandria database, functional PBEsol.

Its electronic total energy is -8.098 eV per atom. The calculation puts the polymorph energy (0 for the lowest one) at 0.578 eV/atom. For the energy relative to the elements, uncorrected, the calculation gives 0.420 eV per atom.

The structure belongs to space group I-4m2 (No. 119); the cell edges are 3.749, 3.749 and 9.530 Å and the angles 90.00°, 90.00° and 90.00°. The distinct sites, in fractional coordinates, are Ta at (0.000, 0.000, 0.000), Ta at (0.000, 0.500, 0.250), Pt at (0.000, 0.500, 0.750) and Cl at (0.000, 0.000, 0.500).